1.
# ReSiAs2 | Alexandria | GGA-PBE | optimized geometry
data_ReSiAs2
_space_group_name_H-M_alt 'C m m 2'
_space_group_IT_number 35
_cell_length_a 3.0492
_cell_length_b 4.8849
_cell_length_c 9.2830
_cell_angle_alpha 90.00
_cell_angle_beta 90.00
_cell_angle_gamma 90.00
loop_
_space_group_symop_operation_xyz
'x,y,z'
'-x,-y,z'
'-x,y,z'
'x,-y,z'
'x+1/2,y+1/2,z'
'-x+1/2,-y+1/2,z'
'-x+1/2,y+1/2,z'
'x+1/2,-y+1/2,z'
loop_
_atom_site_label
_atom_site_fract_x
_atom_site_fract_y
_atom_site_fract_z
_atom_site_occupancy
Re1 0.0000 0.0000 0.0000 1
Si1 0.0000 0.5000 0.7894 1
As1 0.0000 0.0000 0.5558 1
As2 0.0000 0.5000 0.2226 1
# **Formation energy without anion corrections**: 441 meV/atom
# **Uncorrected energy**: -50.809 eV per cell



2.
# Li3U3FeS8 | Alexandria | GGA-PBE | optimized geometry
data_Li3U3FeS8
_space_group_name_H-M_alt 'R -3 m'
_space_group_IT_number 166
_space_group_name_Hall '-R 3 2"'
_cell_length_a 7.5542
_cell_length_b 7.5542
_cell_length_c 18.7379
_cell_angle_alpha 90.00
_cell_angle_beta 90.00
_cell_angle_gamma 120.00
loop_
_atom_site_label
_atom_site_fract_x
_atom_site_fract_y
_atom_site_fract_z
_atom_site_occupancy
Li1 0.0000 0.5000 0.0000 1
U1 0.0000 0.5000 0.5000 1
Fe1 0.0000 0.0000 0.5000 1
S1 0.0000 0.0000 0.2541 1
S2 0.0156 0.5078 0.2462 1
# **Formation energy without anion corrections**: -1189 meV/atom
# **Uncorrected energy**: -296.754 eV per cell



3.
# IrAuBr2 | Alexandria | GGA-PBE | optimized geometry
data_IrAuBr2
_space_group_name_H-M_alt 'P 4/m m m'
_space_group_IT_number 123
_space_group_name_Hall '-P 4 2'
_cell_length_a 3.1363
_cell_length_b 3.1363
_cell_length_c 8.4719
_cell_angle_alpha 90.00
_cell_angle_beta 90.00
_cell_angle_gamma 90.00
loop_
_atom_site_label
_atom_site_fract_x
_atom_site_fract_y
_atom_site_fract_z
_atom_site_occupancy
Ir1 0.0000 0.0000 0.0000 1
Au1 0.0000 0.0000 0.5000 1
Br1 0.5000 0.5000 0.1991 1
# **Formation energy without anion corrections**: 958 meV/atom
# **Offset from the most stable computed form**: 845.4 meV/atom
# **Uncorrected energy**: -11.652 eV per cell



4.
# BC3 | Alexandria | GGA-PBE | optimized geometry
data_BC3
_space_group_name_H-M_alt 'C 1 m 1'
_space_group_IT_number 8
_cell_length_a 11.4235
_cell_length_b 2.5999
_cell_length_c 5.2022
_cell_angle_alpha 90.00
_cell_angle_beta 104.09
_cell_angle_gamma 90.00
loop_
_space_group_symop_operation_xyz
'x,y,z'
'x,-y,z'
'x+1/2,y+1/2,z'
'x+1/2,-y+1/2,z'
loop_
_atom_site_label
_atom_site_fract_x
_atom_site_fract_y
_atom_site_fract_z
_atom_site_occupancy
B1 0.0000 0.0000 0.0000 1
B2 0.1167 0.0000 0.3864 1
B3 0.2616 0.5000 0.6660 1
C1 0.0117 0.0000 0.5447 1
C2 0.1018 0.0000 0.8368 1
C3 0.1802 0.5000 0.8824 1
C4 0.1820 0.5000 0.3588 1
C5 0.2645 0.5000 0.1656 1
C6 0.3461 0.0000 0.2097 1
C7 0.3531 0.0000 0.7113 1
C8 0.4254 0.0000 0.0035 1
C9 0.4312 0.0000 0.5016 1
# **Energy of formation from the pure elements**: 0.28 eV/atom
# **Offset from the most stable computed form**: 41.7 meV/atom
# **Uncorrected energy**: -199.318 eV per cell



5.
# Sm2SnB2Ru5 | Alexandria | GGA-PBE | optimized geometry
data_Sm2SnB2Ru5
_space_group_name_H-M_alt 'P 4/m b m'
_space_group_IT_number 127
_space_group_name_Hall '-P 4 2ab'
_cell_length_a 9.8350
_cell_length_b 9.8350
_cell_length_c 3.1661
_cell_angle_alpha 90.00
_cell_angle_beta 90.00
_cell_angle_gamma 90.00
loop_
_atom_site_label
_atom_site_fract_x
_atom_site_fract_y
_atom_site_fract_z
_atom_site_occupancy
Sm1 0.1768 0.3232 0.0000 1
Sn1 0.0000 0.0000 0.0000 1
B1 0.1205 0.6205 0.0000 1
Ru1 0.0000 0.5000 0.5000 1
Ru2 0.0693 0.7743 0.5000 1
# **Energy of formation from the pure elements**: -0.39 eV/atom
# **Uncorrected energy**: -154.178 eV per cell



6.
# ErScTl2 | Alexandria | GGA-PBE | optimized geometry
data_ErScTl2
_space_group_name_H-M_alt 'R 3 m'
_space_group_IT_number 160
_space_group_name_Hall 'R 3 -2"'
_cell_length_a 3.5744
_cell_length_b 3.5744
_cell_length_c 28.9216
_cell_angle_alpha 90.00
_cell_angle_beta 90.00
_cell_angle_gamma 120.00
loop_
_atom_site_label
_atom_site_fract_x
_atom_site_fract_y
_atom_site_fract_z
_atom_site_occupancy
Er1 0.0000 0.0000 0.0000 1
Sc1 0.0000 0.0000 0.8314 1
Tl1 0.0000 0.0000 0.2460 1
Tl2 0.0000 0.0000 0.4188 1
# **Energy of formation from the pure elements**: -0.19 eV/atom
# **Uncorrected energy**: -49.123 eV per cell



no.,calculated density (g/cm3)
1,8.746
2,5.634
3,10.939
4,3.114
5,10.263
6,9.667